[1]
Crystalline Sm4ThCd at its relaxed geometry. Source: Alexandria via LeMat-Bulk, functional PBE.

As for the offset from the most stable computed form: 0.0 kJ/mol of atoms. For the energy of formation from the pure elements, the calculation gives -0.078 eV per atom. The value obtained for the density of states at the Fermi level is 7.0 states/eV per cell.

The space group is P4/mmm (No. 123) and the conventional cell measures 3.625, 3.625 and 14.406 Å, with angles of 90.00, 90.00 and 90.00 degrees. The inequivalent atoms are Sm at (0.000, 0.000, 0.146), Sm at (0.500, 0.500, 0.329), Th at (0.000, 0.000, 0.500) and Cd at (0.500, 0.500, 0.000).



[2]
Crystalline Sm2ThCd at its relaxed geometry. Source: Alexandria via LeMat-Bulk, functional PBE.

As for the offset from the most stable computed form: 0.0 kJ/mol of atoms. For the energy of formation from the pure elements, the calculation gives -0.166 eV per atom. The value obtained for the density of states at the Fermi level is 3.6 states/eV per cell.

The space group is P4/mmm (No. 123) and the conventional cell measures 3.647, 3.647 and 9.023 Å, with angles of 90.00, 90.00 and 90.00 degrees. The inequivalent atoms are Sm at (0.000, 0.000, 0.233), Th at (0.500, 0.500, 0.500) and Cd at (0.500, 0.500, 0.000).



[3]
Crystalline Sm2ThCd at its relaxed geometry. Source: Alexandria via LeMat-Bulk, functional PBE.

As for the offset from the most stable computed form: 23.7 kJ/mol of atoms. For the energy of formation from the pure elements, the calculation gives 0.080 eV per atom. The value obtained for the density of states at the Fermi level is 25.9 states/eV per cell.

The space group is Fm-3m (No. 225) and the conventional cell measures 7.835, 7.835 and 7.835 Å, with angles of 90.00, 90.00 and 90.00 degrees. The inequivalent atoms are Sm at (0.250, 0.250, 0.250), Th at (0.000, 0.000, 0.000) and Cd at (0.000, 0.000, 0.500).



What is the offset from the most stable computed form in the first record?
0.0 kJ/mol of atoms